1.
The following is a PBE-GGA calculation of a relaxed Y2Zn3GaNi12 crystal, from Alexandria.

DOS at the Fermi energy: 0.738 states/eV per atom
SG: R-3m

Cell lengths 9.351, 9.351, 9.351 Å; angles 37.09, 37.09, 37.09 degrees
Element x y z (fractional)
Y 0.648 0.648 0.648
Y 0.352 0.352 0.352
Zn 0.500 0.000 0.000
Zn 0.000 0.500 0.000
Zn 0.000 0.000 0.500
Ga 0.000 0.000 0.000
Ni 0.420 0.420 0.810
Ni 0.918 0.918 0.368
Ni 0.368 0.918 0.918
Ni 0.810 0.420 0.420
Ni 0.918 0.368 0.918
Ni 0.420 0.810 0.420
Ni 0.580 0.580 0.190
Ni 0.082 0.082 0.632
Ni 0.632 0.082 0.082
Ni 0.190 0.580 0.580
Ni 0.082 0.632 0.082
Ni 0.580 0.190 0.580

2.
The following is a PBE-GGA calculation of a relaxed NpGaCuTc crystal, from Alexandria.

DOS at the Fermi energy: 1.511 states/eV per atom
SG: F-43m

Cell lengths 4.569, 4.569, 4.569 Å; angles 60.00, 60.00, 60.00 degrees
Each line ends with the local moment (μB).
Element x y z (fractional)
Np 0.500 0.500 0.500  3.32
Cu 0.750 0.750 0.750  -0.01
Tc 0.250 0.250 0.250  -0.40
Ga 0.000 0.000 0.000  0.00

Sequential energy relative to the elements output: 45.4 167.8 meV per atom